Here is an optimized crystal structure of PaClF2 from Alexandria via LeMat-Bulk. Energies are from PBE-GGA.

```
data_PaClF2
_cell_length_a 5.4816
_cell_length_b 5.4816
_cell_length_c 7.5885
_cell_angle_alpha 90.00
_cell_angle_beta 90.00
_cell_angle_gamma 140.10
_space_group_name_H-M_alt 'P 1'
_space_group_IT_number 1
_space_group_name_Hall 'P 1'
loop_
_atom_site_label
_atom_site_type_symbol
_atom_site_fract_x
_atom_site_fract_y
_atom_site_fract_z
Pa1 Pa 0.2496 0.7504 0.7500
Pa2 Pa 0.7504 0.2496 0.2500
Cl1 Cl 0.0388 0.9612 0.2500
Cl2 Cl 0.9612 0.0388 0.7500
F1 F 0.3246 0.6754 0.0661
F2 F 0.3246 0.6754 0.4339
F3 F 0.6754 0.3246 0.5661
F4 F 0.6754 0.3246 0.9339
```

Output
Energy above the most stable polymorph in this dataset = 0 meV per atom
Crystal system = orthorhombic
E_form (uncorrected) = -2.84 eV per atom
Total DFT energy (no corrections) = -6.608 eV per atom

Here is an optimized crystal structure of PaClF4 from Alexandria via LeMat-Bulk. Energies are from PBE-GGA.

```
data_PaClF4
_cell_length_a 4.5982
_cell_length_b 4.5982
_cell_length_c 4.5982
_cell_angle_alpha 60.00
_cell_angle_beta 60.00
_cell_angle_gamma 60.00
_space_group_name_H-M_alt 'P 1'
_space_group_IT_number 1
_space_group_name_Hall 'P 1'
loop_
_atom_site_label
_atom_site_type_symbol
_atom_site_fract_x
_atom_site_fract_y
_atom_site_fract_z
Pa1 Pa 0.0000 0.0000 0.0000
Cl1 Cl 0.2500 0.2500 0.2500
F1 F 0.1222 0.6259 0.6259
F2 F 0.6259 0.1222 0.6259
F3 F 0.6259 0.6259 0.1222
F4 F 0.6259 0.6259 0.6259
```

Output
Energy above the most stable polymorph in this dataset = 1050 meV per atom
Crystal system = cubic
E_form (uncorrected) = -2.25 eV per atom
Total DFT energy (no corrections) = -5.389 eV per atom

Here is an optimized crystal structure of PaClF4 from Alexandria via LeMat-Bulk. Energies are from PBE-GGA.

```
data_PaClF4
_cell_length_a 7.8680
_cell_length_b 3.6274
_cell_length_c 7.0882
_cell_angle_alpha 90.00
_cell_angle_beta 90.00
_cell_angle_gamma 90.00
_space_group_name_H-M_alt 'P 1'
_space_group_IT_number 1
_space_group_name_Hall 'P 1'
loop_
_atom_site_label
_atom_site_type_symbol
_atom_site_fract_x
_atom_site_fract_y
_atom_site_fract_z
Pa1 Pa 0.2500 0.0000 0.1675
Pa2 Pa 0.7500 0.0000 0.8325
Cl1 Cl 0.2500 0.0000 0.5250
Cl2 Cl 0.7500 0.0000 0.4750
F1 F 0.0000 0.0000 0.0000
F2 F 0.0878 0.5000 0.2543
F3 F 0.2500 0.5000 0.9597
F4 F 0.4122 0.5000 0.2543
F5 F 0.5000 0.0000 0.0000
F6 F 0.5878 0.5000 0.7457
F7 F 0.7500 0.5000 0.0403
F8 F 0.9122 0.5000 0.7457
```

Output
Energy above the most stable polymorph in this dataset = 22 meV per atom
Crystal system = orthorhombic
E_form (uncorrected) = -3.28 eV per atom
Total DFT energy (no corrections) = -6.417 eV per atom